The following is a DFT calculation (PBE-GGA) of crystalline Pr6GaP2Cl3 at its relaxed geometry.

Structure (POSCAR):
```
Pr6GaP2Cl3
1.0
4.176 0.000 0.000
0.000 8.578 0.238
-2.088 -2.547 8.966
Pr Cl P Ga
6 3 2 1
Direct
0.007 0.246 0.015 Pr
0.662 0.105 0.325 Pr
0.993 0.754 0.985 Pr
0.675 0.566 0.349 Pr
0.338 0.895 0.675 Pr
0.325 0.434 0.651 Pr
0.834 0.167 0.668 Cl
0.500 0.500 0.000 Cl
0.166 0.833 0.332 Cl
0.833 0.665 0.665 P
0.167 0.335 0.335 P
0.500 0.000 0.000 Ga
```

Output
**E_form (uncorrected)**: -1411 meV per atom
**V**: 323.7 Å³ per cell
**SG**: C2/m, No. 12
**Total moment**: 0.0 μB per formula unit

---

The following is a DFT calculation (PBE-GGA) of crystalline MnZn2Co at its relaxed geometry.

Structure (POSCAR):
```
MnZn2Co
1.0
-0.215 1.131 2.454
-0.404 -2.448 1.092
6.868 -0.719 0.933
Zn Mn Co
2 1 1
Direct
0.000 0.000 0.013 Zn
0.000 0.000 0.487 Zn
0.500 0.500 0.750 Mn
0.500 0.500 0.250 Co
```

Output
**V**: 51.2 Å³ per cell
**Energy relative to the elements**: 0.046 eV/atom
**SG**: P4/mmm, No. 123
**Total moment**: 3.9 μB per formula unit

---

The following is a DFT calculation (PBE-GGA) of crystalline KMg2Rh at its relaxed geometry.

Structure (POSCAR):
```
KMg2Rh
1.0
6.298 -0.022 -0.007
2.861 5.610 0.007
-3.708 -4.222 2.843
Rh Mg K
1 2 1
Direct
0.750 0.250 0.500 Rh
0.938 0.938 0.000 Mg
0.562 0.562 0.000 Mg
0.250 0.750 0.500 K
```

Output
**V**: 100.8 Å³ per cell
**Energy relative to the elements**: 0.123 eV/atom
**SG**: Immm, No. 71
**Total moment**: 0.0 μB per formula unit

---

The following is a DFT calculation (PBE-GGA) of crystalline Pm3PdAu3 at its relaxed geometry.

Structure (POSCAR):
```
Pm3PdAu3
1.0
-3.690 -0.969 -2.484
1.902 -2.891 -1.697
-2.228 -4.265 9.145
Pd Pm Au
1 3 3
Direct
0.431 0.431 0.862 Pd
0.319 0.819 0.637 Pm
0.686 0.186 0.371 Pm
0.995 0.995 0.990 Pm
0.157 0.657 0.314 Au
0.566 0.566 0.131 Au
0.847 0.347 0.694 Au
```

Output
**V**: 173.6 Å³ per cell
**Energy relative to the elements**: -0.798 eV/atom
**SG**: Imm2, No. 44
**Total moment**: 0.0 μB per formula unit

---

The following is a DFT calculation (PBE-GGA) of crystalline Tl2ZnSi at its relaxed geometry.

Structure (POSCAR):
```
Tl2ZnSi
1.0
-9.292 -2.340 -0.082
1.291 -4.841 -8.168
-3.510 -5.582 -2.867
Tl Si Zn
4 2 2
Direct
0.226 0.625 0.250 Tl
0.524 0.125 0.250 Tl
0.875 0.774 0.750 Tl
0.375 0.476 0.750 Tl
0.250 0.750 0.500 Si
0.500 0.500 0.000 Si
0.750 0.250 0.500 Zn
0.000 0.000 0.000 Zn
```

Output
**E_form (uncorrected)**: 356 meV per atom
**V**: 220.9 Å³ per cell
**SG**: I-42d, No. 122
**Total moment**: 0.0 μB per formula unit

---

The following is a DFT calculation (PBE-GGA) of crystalline LaZn2PdPt at its relaxed geometry.

Structure (POSCAR):
```
LaZn2PdPt
1.0
4.115 0.000 0.000
0.000 3.938 0.000
-2.058 -1.969 6.070
Zn Pt Pd La
2 1 1 1
Direct
0.691 0.191 0.383 Zn
0.057 0.057 0.113 Zn
0.846 0.846 0.692 Pt
0.190 0.690 0.381 Pd
0.428 0.428 0.856 La
```

Output
**V**: 98.4 Å³ per cell
**Energy relative to the elements**: -0.688 eV/atom
**SG**: Imm2, No. 44
**Total moment**: 0.0 μB per formula unit

---

The following is a DFT calculation (PBE-GGA) of crystalline CoIr2Os at its relaxed geometry.

Structure (POSCAR):
```
CoIr2Os
1.0
-1.517 2.223 -0.206
-3.801 -2.576 0.193
-0.038 0.395 4.536
Co Os Ir
1 1 2
Direct
0.000 0.500 0.500 Co
0.500 0.000 0.500 Os
0.000 0.000 0.000 Ir
0.500 0.500 0.000 Ir
```

Output
**V**: 56.5 Å³ per cell
**Energy relative to the elements**: 0.436 eV/atom
**SG**: Pmmm, No. 47
**Total moment**: 2.3 μB per formula unit

---

The following is a DFT calculation (PBE-GGA) of crystalline Pr3Ho2Th2 at its relaxed geometry.

Structure (POSCAR):
```
Pr3Ho2Th2
1.0
-2.721 -2.093 0.449
1.687 -1.069 5.248
-7.430 9.963 1.412
Pr Th Ho
3 2 2
Direct
0.000 0.000 0.000 Pr
0.000 0.291 0.582 Pr
0.000 0.709 0.418 Pr
0.000 0.140 0.281 Th
0.000 0.860 0.719 Th
0.500 0.425 0.851 Ho
0.500 0.575 0.149 Ho
```

Output
**V**: 237.0 Å³ per cell
**Energy relative to the elements**: 0.192 eV/atom
**SG**: Cmmm, No. 65
**Total moment**: 0.0 μB per formula unit

---

The following is a DFT calculation (PBE-GGA) of crystalline VRhN at its relaxed geometry.

Structure (POSCAR):
```
VRhN
1.0
2.716 0.000 0.000
0.000 2.675 0.000
0.000 0.000 17.987
N V Rh
4 4 4
Direct
0.500 0.000 0.112 N
0.500 0.500 0.612 N
0.000 0.500 0.737 N
0.000 0.000 0.237 N
0.500 0.000 0.702 V
0.500 0.500 0.202 V
0.000 0.500 0.068 V
0.000 0.000 0.568 V
0.000 0.000 0.347 Rh
0.500 0.500 0.456 Rh
0.000 0.500 0.847 Rh
0.500 0.000 0.956 Rh
```

Output
**E_form (uncorrected)**: -618 meV per atom
**V**: 130.7 Å³ per cell
**SG**: Amm2, No. 38
**Total moment**: 0.0 μB per formula unit

---

The following is a DFT calculation (PBE-GGA) of crystalline Th8Ru5Rh at its relaxed geometry.

Structure (POSCAR):
```
Th8Ru5Rh
1.0
7.229 0.000 -2.548
-3.577 6.278 -2.558
-0.075 0.000 7.664
Th Ru Rh
8 5 1
Direct
0.233 0.247 0.371 Th
0.124 0.753 0.986 Th
0.627 0.359 0.875 Th
0.125 0.752 0.484 Th
0.516 0.641 0.269 Th
0.014 0.138 0.767 Th
0.629 0.862 0.876 Th
0.731 0.248 0.373 Th
0.373 0.120 0.993 Ru
0.007 0.380 0.127 Ru
0.873 0.880 0.253 Ru
0.500 0.000 0.500 Ru
0.747 0.620 0.627 Ru
0.250 0.500 0.750 Rh
```

Output
**V**: 346.6 Å³ per cell
**Energy relative to the elements**: -0.524 eV/atom
**SG**: I-4, No. 82
**Total moment**: 0.0 μB per formula unit

---

The following is a DFT calculation (PBE-GGA) of crystalline YZnB at its relaxed geometry.

Structure (POSCAR):
```
YZnB
1.0
3.420 0.000 0.000
0.000 4.043 -0.008
0.000 0.857 7.038
Zn Y B
2 2 2
Direct
0.803 0.708 0.160 Zn
0.303 0.538 0.933 Zn
0.303 0.160 0.346 Y
0.803 0.086 0.746 Y
0.803 0.639 0.490 B
0.303 0.607 0.602 B
```

Output
**V**: 97.3 Å³ per cell
**Energy relative to the elements**: -0.302 eV/atom
**SG**: P2_1/m, No. 11
**Total moment**: 0.0 μB per formula unit

---

The following is a DFT calculation (PBE-GGA) of crystalline CdIn2Re at its relaxed geometry.

Structure (POSCAR):
```
CdIn2Re
1.0
-6.501 1.305 1.720
1.555 -4.786 -1.508
-0.919 -1.122 2.624
In Re Cd
2 1 1
Direct
0.500 0.000 0.500 In
0.000 0.000 0.000 In
0.000 0.500 0.500 Re
0.500 0.500 0.000 Cd
```

Output
**V**: 78.6 Å³ per cell
**Energy relative to the elements**: 0.592 eV/atom
**SG**: Cmmm, No. 65
**Total moment**: 0.0 μB per formula unit